Entry 1:
CaTbPmY: relaxed, GGA-PBE.

```
CaTbPmY
1.0
3.647 0.000 0.005
0.000 3.647 -0.005
-0.012 0.012 10.463
Ca Pm Y Tb
1 1 1 1
Direct
0.146 0.854 0.725 Ca
0.646 0.354 0.454 Pm
0.646 0.354 0.990 Y
0.146 0.854 0.220 Tb
```

## Properties
* relative energy among the computed polymorphs: 0.0 meV/atom
* D(E_F): 5.96 states/eV per cell
* formation enthalpy at 0 K: 58 meV/atom


Entry 2:
DyHo2Tl4: relaxed, GGA-PBE.

```
DyHo2Tl4
1.0
4.867 0.000 0.000
2.434 4.215 0.000
2.434 1.405 10.093
Dy Tl Ho
1 4 2
Direct
0.000 0.000 0.000 Dy
0.757 0.757 0.728 Tl
0.382 0.382 0.854 Tl
0.618 0.618 0.146 Tl
0.243 0.243 0.272 Tl
0.871 0.871 0.388 Ho
0.129 0.129 0.612 Ho
```

## Properties
* relative energy among the computed polymorphs: 149.3 meV/atom
* D(E_F): 4.76 states/eV per cell
* formation enthalpy at 0 K: -70 meV/atom


Entry 3:
Er6CdCo: relaxed, GGA-PBE.

```
Er6CdCo
1.0
6.730 0.009 0.000
3.358 5.849 0.007
3.347 1.942 6.147
Er Cd Co
6 1 1
Direct
0.412 0.792 0.761 Er
0.209 0.965 0.239 Er
0.965 0.588 0.239 Er
0.791 0.035 0.761 Er
0.588 0.208 0.239 Er
0.035 0.412 0.761 Er
0.500 0.500 0.500 Cd
0.000 0.000 0.000 Co
```

## Properties
* D(E_F): 11.06 states/eV per cell
* formation enthalpy at 0 K: 59 meV/atom


Entry 4:
La2NdGa: relaxed, GGA-PBE.

```
La2NdGa
1.0
-4.057 0.281 -3.682
-0.205 -5.468 3.895
-4.141 3.602 4.838
La Ga Nd
4 2 2
Direct
0.371 0.742 0.531 La
0.629 0.258 0.469 La
0.371 0.742 0.969 La
0.629 0.258 0.031 La
0.823 0.647 0.750 Ga
0.177 0.353 0.250 Ga
0.931 0.863 0.250 Nd
0.069 0.137 0.750 Nd
```

## Properties
* relative energy among the computed polymorphs: 20.2 meV/atom
* D(E_F): 8.17 states/eV per cell
* formation enthalpy at 0 K: -236 meV/atom


Entry 5:
PmIn6Ag12: relaxed, GGA-PBE.

```
PmIn6Ag12
1.0
-7.345 2.667 -0.280
-0.428 -6.667 4.064
3.779 4.985 4.692
In Ag Pm
6 12 1
Direct
0.707 0.707 0.299 In
0.701 0.293 0.293 In
0.707 0.299 0.707 In
0.293 0.293 0.701 In
0.293 0.701 0.293 In
0.299 0.707 0.707 In
0.111 0.889 0.500 Ag
0.889 0.500 0.111 Ag
0.884 0.644 0.644 Ag
0.116 0.356 0.356 Ag
0.500 0.111 0.889 Ag
0.644 0.884 0.644 Ag
0.889 0.111 0.500 Ag
0.644 0.644 0.884 Ag
0.356 0.356 0.116 Ag
0.111 0.500 0.889 Ag
0.356 0.116 0.356 Ag
0.500 0.889 0.111 Ag
0.000 0.000 0.000 Pm
```

## Properties
* D(E_F): 4.43 states/eV per cell
* formation enthalpy at 0 K: 23 meV/atom


Entry 6:
Tl2CdSb: relaxed, GGA-PBE.

```
Tl2CdSb
1.0
0.000 3.891 3.891
3.891 0.000 3.891
3.891 3.891 0.000
Tl Sb Cd
2 1 1
Direct
0.250 0.250 0.250 Tl
0.750 0.750 0.750 Tl
0.500 0.500 0.500 Sb
0.000 0.000 0.000 Cd
```

## Properties
* relative energy among the computed polymorphs: 41.1 meV/atom
* D(E_F): 1.61 states/eV per cell
* uncorrected formation energy: 0.047 eV/atom


> Among the records above, which one has the lowest D(E_F)?

Tl2CdSb